Compound: HfReIO2
Source: Alexandria
Functional: PBE-GGA
Structure: relaxed

Results
M_tot ... 3.634 Bohr magnetons per cell
E ... -0.538 Ry per atom
D(E_F) ... 2.5 states/eV per cell
Excess energy over the best structure of this formula in the dataset ... 0.0 meV per atom

Cell and atoms, written as POSCAR:
```
HfReIO2
1.0
4.0342 0.0000 0.0000
0.0000 4.0342 0.0000
0.0000 0.0000 6.1703
Hf Re I O
1 1 1 2
Direct
0.0000 0.0000 0.0000 Hf
0.5000 0.5000 0.5000 Re
0.0000 0.0000 0.5000 I
0.0000 0.5000 0.0000 O
0.5000 0.0000 0.0000 O
```